The following is a GGA+U calculation of Rb2MoF8 after structural relaxation, from Alexandria.

The structure in POSCAR format:
```
Rb2MoF8
1.0
-1.0379 -4.7251 -5.5486
0.9169 -3.7270 5.9309
-4.1688 -1.9423 5.3624
F Rb Mo
8 2 1
direct
0.0276 0.8599 0.3535 F
0.2719 0.0260 0.0260 F
0.9724 0.1401 0.6465 F
0.7281 0.9740 0.9740 F
0.9724 0.6465 0.1401 F
0.0276 0.3535 0.8599 F
0.3880 0.2931 0.2931 F
0.6120 0.7069 0.7069 F
0.6688 0.1997 0.1997 Rb
0.3312 0.8003 0.8003 Rb
0.0000 0.0000 0.0000 Mo
```

Properties
E_tot = -0.335 Ry per atom
SG = C2/m